one) First-principles (PBE-GGA) data for crystalline Ti4MoOs at its relaxed geometry, as listed in the Alexandria database.

Its size of the total moment is 0.00 μB/atom. Its calculated density is 7.11 Mg/m³.

Structure (POSCAR):
```
Ti4MoOs
1.0
2.136 1.233 7.062
-2.136 1.233 7.062
0.000 -2.466 7.062
Ti Mo Os
4 1 1
Direct
0.124 0.124 0.124
0.374 0.374 0.374
0.626 0.626 0.626
0.876 0.876 0.876
0.500 0.500 0.500
0.000 0.000 0.000
```

***

two) First-principles (PBE-GGA) data for crystalline Ti4MoOs at its relaxed geometry, as listed in the Alexandria database.

Its size of the total moment is 0.00 μB/atom. Its calculated density is 7.00 Mg/m³.

Structure (POSCAR):
```
Ti4MoOs
1.0
4.238 0.000 0.000
0.000 5.949 0.000
0.000 0.000 8.984
Ti Mo Os
8 2 2
Direct
0.015 0.247 0.000
0.015 0.253 0.500
0.483 0.750 0.266
0.483 0.750 0.766
0.517 0.250 0.266
0.517 0.250 0.766
0.985 0.747 0.500
0.985 0.753 0.000
0.000 0.000 0.253
0.000 0.500 0.753
0.500 0.000 0.011
0.500 0.500 0.511
```

***

The most stable of them is one).